K2AcLaS4 (PBE, relaxed); uncorrected formation energy = -1.905 eV per atom; space-group type = P2/m, No. 10; total DFT energy (no corrections) = -0.19742 Ha/atom
1.0
-2.7334 -0.5344 -3.3628
0.7016 -7.5051 0.6224
-5.9552 2.3505 4.4671
S K La Ac
4 2 1 1
direct
0.0000 0.2702 0.7913 S
0.0000 0.7298 0.2087 S
0.5000 0.2442 0.2124 S
0.5000 0.7558 0.7876 S
0.0000 0.5000 0.5000 K
0.5000 0.0000 0.5000 K
0.5000 0.5000 0.0000 La
0.0000 0.0000 0.0000 Ac

K3AcLa2S6 (PBE, relaxed); uncorrected formation energy = -1.910 eV per atom; space-group type = C2/m, No. 12; total DFT energy (no corrections) = -0.19889 Ha/atom
1.0
7.5239 -0.0011 0.0003
-3.7611 6.5164 0.0003
-1.2549 -2.1728 7.3795
S La K Ac
6 2 3 1
direct
0.2707 0.2707 0.7900 S
0.5895 0.9302 0.7907 S
0.9302 0.5895 0.7907 S
0.7293 0.7293 0.2100 S
0.0698 0.4105 0.2093 S
0.4105 0.0698 0.2093 S
0.6667 0.3333 0.0000 La
0.3333 0.6667 0.0000 La
0.8331 0.1669 0.5000 K
0.1669 0.8331 0.5000 K
0.5000 0.5000 0.5000 K
0.0000 0.0000 0.0000 Ac

KAcLa2S4 (PBE, relaxed); uncorrected formation energy = -1.974 eV per atom; space-group type = P2/m, No. 10; total DFT energy (no corrections) = -0.21758 Ha/atom
1.0
-3.2595 1.6285 -2.1320
-3.3177 -6.6660 -0.0196
-4.2205 -0.5787 6.0102
K La Ac S
1 2 1 4
direct
0.0000 0.5000 0.5000 K
0.5000 0.0000 0.5000 La
0.0000 0.0000 0.0000 La
0.5000 0.5000 0.0000 Ac
0.5000 0.7700 0.2361 S
0.0000 0.2381 0.2506 S
0.0000 0.7619 0.7494 S
0.5000 0.2300 0.7639 S

K3AcLa2Se6 (PBE, relaxed); uncorrected formation energy = -1.825 eV per atom; space-group type = C2/m, No. 12; total DFT energy (no corrections) = -0.18394 Ha/atom
1.0
-4.3972 -4.6811 4.3970
7.5740 0.8423 1.5831
-2.6879 7.1794 2.6571
Ac Se K La
1 6 3 2
direct
0.0000 0.0000 0.0000 Ac
0.9288 0.5883 0.7866 Se
0.7307 0.7307 0.2138 Se
0.0712 0.4117 0.2134 Se
0.2693 0.2693 0.7862 Se
0.4117 0.0712 0.2134 Se
0.5883 0.9288 0.7866 Se
0.1664 0.8336 0.5000 K
0.5000 0.5000 0.5000 K
0.8336 0.1664 0.5000 K
0.6667 0.3333 0.0000 La
0.3333 0.6667 0.0000 La

K4AcLa3Se8 (PBE, relaxed); uncorrected formation energy = -1.826 eV per atom; space-group type = R-3m, No. 166; total DFT energy (no corrections) = -0.18460 Ha/atom
1.0
8.9653 0.0000 0.0000
0.0000 9.2609 0.1996
-4.4827 -4.4776 6.3426
Se K La Ac
8 4 3 1
direct
0.7587 0.2859 0.5173 Se
0.2632 0.2898 0.5265 Se
0.2685 0.2859 0.0271 Se
0.7315 0.7141 0.9729 Se
0.7586 0.2859 0.0271 Se
0.2414 0.7141 0.9729 Se
0.7368 0.7102 0.4735 Se
0.2413 0.7141 0.4827 Se
0.0000 0.0000 0.5000 K
0.5000 0.0000 0.0000 K
0.5000 0.0000 0.5000 K
0.0000 0.0000 0.0000 K
0.5000 0.5000 0.5000 La
0.0000 0.5000 0.5000 La
0.5000 0.5000 0.0000 La
0.0000 0.5000 0.0000 Ac

KAc2LaSe4 (PBE, relaxed); uncorrected formation energy = -1.828 eV per atom; space-group type = P2/m, No. 10; total DFT energy (no corrections) = -0.19664 Ha/atom
1.0
-0.5337 3.2991 2.9182
-6.1324 2.4978 -3.9453
-6.3956 -3.4750 2.7590
Se K La Ac
4 1 1 2
direct
0.5000 0.7546 0.2395 Se
0.0000 0.7455 0.7575 Se
0.5000 0.2454 0.7605 Se
0.0000 0.2545 0.2425 Se
0.0000 0.5000 0.5000 K
0.5000 0.5000 0.0000 La
0.0000 0.0000 0.0000 Ac
0.5000 0.0000 0.5000 Ac

K4AcLa3Te8 (PBE, relaxed); uncorrected formation energy = -1.497 eV per atom; space-group type = R-3m, No. 166; total DFT energy (no corrections) = -0.16622 Ha/atom
1.0
-9.4968 0.0699 0.1494
-0.0161 -9.3173 3.3346
4.8741 6.5649 4.8320
Te La Ac K
8 3 1 4
direct
0.7570 0.2812 0.0240 Te
0.7382 0.7146 0.4765 Te
0.7571 0.2813 0.5141 Te
0.7330 0.7188 0.9760 Te
0.2430 0.7188 0.9760 Te
0.2618 0.2854 0.5235 Te
0.2429 0.7187 0.4859 Te
0.2670 0.2812 0.0240 Te
0.5000 0.5000 0.5000 La
0.0000 0.5000 0.5000 La
0.5000 0.5000 0.0000 La
0.0000 0.5000 0.0000 Ac
0.0000 0.0000 0.0000 K
0.5000 0.0000 0.0000 K
0.0000 0.0000 0.5000 K
0.5000 0.0000 0.5000 K

KLi2Ac (PBE, relaxed); space-group type = P4/mmm, No. 123; total DFT energy (no corrections) = -0.07663 Ha/atom; energy of formation = 0.1732 eV per atom
1.0
3.9497 0.0000 0.0000
0.0000 3.9497 0.0000
0.0000 0.0000 9.6550
Li K Ac
2 1 1
direct
0.0000 0.0000 0.7750 Li
0.0000 0.0000 0.2250 Li
0.5000 0.5000 0.5000 K
0.5000 0.5000 0.0000 Ac

K2LiAc (PBE, relaxed); space-group type = R-3m, No. 166; total DFT energy (no corrections) = -0.06478 Ha/atom; energy of formation = 0.2914 eV per atom
1.0
3.9458 0.0000 0.0000
1.9729 3.4172 0.0000
1.9729 1.1391 14.2233
Ac K Li
1 2 1
direct
0.0000 0.0000 0.0000 Ac
0.0926 0.0926 0.7222 K
0.9074 0.9074 0.2778 K
0.5000 0.5000 0.5000 Li

KLiAc (PBE, relaxed); space-group type = Amm2, No. 38; total DFT energy (no corrections) = -0.07872 Ha/atom; energy of formation = 0.2313 eV per atom
1.0
3.9187 0.0000 0.0000
-1.9593 3.3976 0.0000
0.0000 0.0000 19.6857
K Ac Li
2 2 2
direct
0.2813 0.5625 0.8356 K
0.2813 0.5625 0.1644 K
0.6071 0.2141 0.6432 Ac
0.6071 0.2141 0.3568 Ac
0.2738 0.5476 0.5000 Li
0.6161 0.2323 0.0000 Li

KLiAcPb (PBE, relaxed); space-group type = F-43m, No. 216; total DFT energy (no corrections) = -0.10325 Ha/atom; energy of formation = -0.1026 eV per atom
1.0
5.8364 0.0000 0.0000
2.9182 5.0544 0.0000
2.9182 1.6848 4.7654
Ac Pb K Li
1 1 1 1
direct
0.7500 0.7500 0.7500 Ac
0.5000 0.5000 0.5000 Pb
0.2500 0.2500 0.2500 K
0.0000 0.0000 0.0000 Li

KLiAcTl (PBE, relaxed); space-group type = F-43m, No. 216; total DFT energy (no corrections) = -0.08626 Ha/atom; energy of formation = 0.0243 eV per atom
1.0
5.6582 0.0000 0.0000
2.8291 4.9002 0.0000
2.8291 1.6334 4.6199
Ac K Li Tl
1 1 1 1
direct
0.5000 0.5000 0.5000 Ac
0.2500 0.2500 0.2500 K
0.0000 0.0000 0.0000 Li
0.7500 0.7500 0.7500 Tl